# Ag2AsC PBE relaxed
# Volume (A^3/atom): 18.59
# Magnetic moment (Bohr magnetons per cell): 0.0
# Energy (eV/atom): -3.599
data_Ag2AsC
_cell_length_a 4.738
_cell_length_b 4.738
_cell_length_c 13.248
_cell_angle_alpha 90.00
_cell_angle_beta 90.00
_cell_angle_gamma 90.00
_symmetry_space_group_name_H-M 'I -4 2 d'
_symmetry_Int_Tables_number 122
_symmetry_space_group_name_Hall 'I -4 2bw'
loop_
_atom_site_label
_atom_site_fract_x
_atom_site_fract_y
_atom_site_fract_z
Ag1 0.149 0.250 0.125
As1 0.000 0.000 0.500
C1 0.000 0.000 0.000

# Nb2Ga3Rh PBE relaxed
# Volume (A^3/atom): 17.16
# Magnetic moment (Bohr magnetons per cell): 0.0
# Energy (eV/atom): -6.114
data_Nb2Ga3Rh
_cell_length_a 4.515
_cell_length_b 5.251
_cell_length_c 8.687
_cell_angle_alpha 90.00
_cell_angle_beta 90.00
_cell_angle_gamma 90.00
_symmetry_space_group_name_H-M 'I m m m'
_symmetry_Int_Tables_number 71
_symmetry_space_group_name_Hall '-I 2 2'
loop_
_atom_site_label
_atom_site_fract_x
_atom_site_fract_y
_atom_site_fract_z
Nb1 0.000 0.000 0.168
Ga1 0.000 0.500 0.157
Ga2 0.000 0.500 0.500
Rh1 0.000 0.000 0.500

# Tb3NdSc2Se6 PBE relaxed
# Volume (A^3/atom): 23.49
# Raw formation energy (eV per atom): -1.71
# Magnetic moment (Bohr magnetons per cell): 0.0
data_Tb3NdSc2Se6
_cell_length_a 7.011
_cell_length_b 12.178
_cell_length_c 7.006
_cell_angle_alpha 90.00
_cell_angle_beta 109.52
_cell_angle_gamma 90.00
_symmetry_space_group_name_H-M 'C 1 2/m 1'
_symmetry_Int_Tables_number 12
loop_
_symmetry_equiv_pos_as_xyz
'x,y,z'
'-x,-y,-z'
'-x,y,-z'
'x,-y,z'
'x+1/2,y+1/2,z'
'-x+1/2,-y+1/2,-z'
'-x+1/2,y+1/2,-z'
'x+1/2,-y+1/2,z'
loop_
_atom_site_label
_atom_site_fract_x
_atom_site_fract_y
_atom_site_fract_z
Tb1 0.000 0.000 0.000
Tb2 0.000 0.344 0.000
Nd1 0.000 0.500 0.500
Sc1 0.000 0.164 0.500
Se1 0.228 0.000 0.737
Se2 0.243 0.176 0.255

# CaHf2Ir2 PBE relaxed
# Volume (A^3/atom): 20.13
# Magnetic moment (Bohr magnetons per cell): 0.0
# Energy (eV/atom): -8.580
data_CaHf2Ir2
_cell_length_a 8.022
_cell_length_b 8.022
_cell_length_c 3.129
_cell_angle_alpha 90.00
_cell_angle_beta 90.00
_cell_angle_gamma 90.00
_symmetry_space_group_name_H-M 'P 4/m b m'
_symmetry_Int_Tables_number 127
_symmetry_space_group_name_Hall '-P 4 2ab'
loop_
_atom_site_label
_atom_site_fract_x
_atom_site_fract_y
_atom_site_fract_z
Ca1 0.000 0.000 0.000
Hf1 0.147 0.353 0.500
Ir1 0.143 0.643 0.000

# LaNdSm PBE relaxed
# Volume (A^3/atom): 35.67
# Magnetic moment (Bohr magnetons per cell): 0.0
# Energy (eV/atom): -4.785
data_LaNdSm
_cell_length_a 3.701
_cell_length_b 3.701
_cell_length_c 15.625
_cell_angle_alpha 90.00
_cell_angle_beta 90.00
_cell_angle_gamma 90.00
_symmetry_space_group_name_H-M 'I 4 m m'
_symmetry_Int_Tables_number 107
_symmetry_space_group_name_Hall 'I 4 -2'
loop_
_atom_site_label
_atom_site_fract_x
_atom_site_fract_y
_atom_site_fract_z
La1 0.000 0.000 0.000
Nd1 0.000 0.000 0.669
Sm1 0.000 0.000 0.333

# TiGaCuCl2 PBE relaxed
# Volume (A^3/atom): 24.44
# Raw formation energy (eV per atom): -0.13
# Magnetic moment (Bohr magnetons per cell): 1.0
data_TiGaCuCl2
_cell_length_a 4.613
_cell_length_b 4.613
_cell_length_c 5.744
_cell_angle_alpha 90.00
_cell_angle_beta 90.00
_cell_angle_gamma 90.00
_symmetry_space_group_name_H-M 'P 4/m m m'
_symmetry_Int_Tables_number 123
_symmetry_space_group_name_Hall '-P 4 2'
loop_
_atom_site_label
_atom_site_fract_x
_atom_site_fract_y
_atom_site_fract_z
Ti1 0.000 0.000 0.000
Ga1 0.000 0.000 0.500
Cu1 0.500 0.500 0.500
Cl1 0.000 0.500 0.000